No. 1
Pm3OsPt | GGA-PBE | relaxed

## Properties
total magnetization: 0.000 μB per atom
volume: 130 Å³/f.u.
energy of formation: -459 meV per atom

Cell and atoms, written as POSCAR:
```
Pm3OsPt
1.0
8.624 0.000 0.000
0.000 6.518 0.000
-4.329 0.000 9.217
Pm Os Pt
12 4 4
direct
0.144 0.002 0.297
0.144 0.498 0.797
0.274 0.502 0.505
0.274 0.998 0.005
0.339 0.015 0.689
0.339 0.485 0.189
0.661 0.515 0.811
0.661 0.985 0.311
0.726 0.002 0.995
0.726 0.498 0.495
0.856 0.502 0.203
0.856 0.998 0.703
0.477 0.182 0.462
0.477 0.318 0.962
0.523 0.682 0.038
0.523 0.818 0.538
0.000 0.219 0.502
0.000 0.281 0.002
0.000 0.719 0.998
0.000 0.781 0.498
```

No. 2
BeNb2C | GGA-PBE | relaxed

## Properties
total magnetization: 0.000 μB per atom
offset from the most stable computed form: 104 meV per atom
volume: 51 Å³/f.u.
energy of formation: -244 meV per atom

Cell and atoms, written as POSCAR:
```
BeNb2C
1.0
3.206 0.000 0.000
-1.603 2.776 0.000
0.000 0.000 17.144
Be Nb C
3 6 3
direct
0.000 0.000 0.000
0.333 0.667 0.667
0.667 0.333 0.333
0.000 0.000 0.240
0.000 0.000 0.760
0.333 0.667 0.427
0.333 0.667 0.906
0.667 0.333 0.094
0.667 0.333 0.573
0.000 0.000 0.500
0.333 0.667 0.167
0.667 0.333 0.833
```

No. 3
DyTmTl | GGA-PBE | relaxed

## Properties
total magnetization: 0.000 μB per atom
offset from the most stable computed form: 24 meV per atom
volume: 86 Å³/f.u.
energy of formation: -227 meV per atom

Cell and atoms, written as POSCAR:
```
DyTmTl
1.0
3.545 0.000 0.000
0.000 3.545 0.000
0.000 0.000 13.647
Dy Tm Tl
2 2 2
direct
0.000 0.000 0.000
0.500 0.500 0.500
0.000 0.000 0.318
0.500 0.500 0.818
0.000 0.000 0.661
0.500 0.500 0.161
```

No. 4
ReSiP2Cl | GGA-PBE | relaxed

## Properties
total magnetization: 0.081 μB per atom
offset from the most stable computed form: 0 meV per atom
volume: 107 Å³/f.u.
uncorrected formation energy: 764 meV/atom

Cell and atoms, written as POSCAR:
```
ReSiP2Cl
1.0
4.559 0.000 0.000
0.000 4.559 0.000
0.000 0.000 5.144
Re Si P Cl
1 1 2 1
direct
0.000 0.000 0.000
0.500 0.500 0.500
0.000 0.500 0.000
0.500 0.000 0.000
0.000 0.000 0.500
```

No. 5
CaTb3Pr2As6 | GGA-PBE | relaxed

## Properties
total magnetization: 0.000 μB per atom
volume: 319 Å³/f.u.
energy of formation: -1415 meV per atom

Cell and atoms, written as POSCAR:
```
CaTb3Pr2As6
1.0
9.208 -2.108 0.000
9.208 2.108 0.000
-1.980 0.000 8.205
Ca Tb Pr As
1 3 2 6
direct
0.000 0.000 0.000
0.000 0.000 0.500
0.334 0.334 0.166
0.666 0.666 0.834
0.335 0.335 0.670
0.665 0.665 0.330
0.165 0.165 0.588
0.169 0.169 0.077
0.497 0.497 0.257
0.503 0.503 0.743
0.831 0.831 0.923
0.835 0.835 0.412
```

No. 6
EuTmTh2 | GGA-PBE | relaxed

## Properties
total magnetization: 1.786 μB per atom
offset from the most stable computed form: 70 meV per atom
volume: 132 Å³/f.u.
energy of formation: 216 meV per atom

Cell and atoms, written as POSCAR:
```
EuTmTh2
1.0
4.164 0.000 0.000
0.000 4.164 0.000
0.000 0.000 7.597
Eu Tm Th
1 1 2
direct
0.000 0.000 0.000
0.000 0.000 0.500
0.500 0.500 0.269
0.500 0.500 0.731
```

Question: volume of number 6 (EuTmTh2)?
Answer: 132 Å³/f.u.

Question: Which value of volume does entry 3 give?
Answer: 86 Å³/f.u.

Question: Which value of total magnetization does entry 3 give?
Answer: 0.000 μB per atom